Entry from Alexandria: a geometry-optimized TlHg2Cl structure (PBE).

Calculated values
Energy relative to the lowest polymorph listed for this composition = 0.17 eV/f.u.
Energy relative to the elements, uncorrected = -0.434 eV per atom
M_tot = 0.0 μB per formula unit
Uncorrected energy = -1.64 eV/atom

```
4
Lattice="4.107 0.000 0.000 0.000 4.104 0.000 0.000 0.000 7.796" Properties=species:S:1:pos:R:3 pbc="T T T"
Hg 2.053 2.052 1.721
Hg 0.000 0.000 0.107
Cl 2.053 2.052 5.500
Tl 0.000 0.000 4.367
```

=====

Entry from Alexandria: a geometry-optimized TlHg3Cl9 structure (PBE).

Calculated values
Energy relative to the elements, uncorrected = -0.589 eV per atom
M_tot = 0.0 μB per formula unit
Uncorrected energy = -2.12 eV/atom
DOS at the Fermi energy = 0.00 states/eV/atom

```
26
Lattice="-7.592 5.819 -0.041 -7.219 -1.508 6.822 1.802 10.259 6.486" Properties=species:S:1:pos:R:3 pbc="T T T"
Hg -5.262 11.152 6.048
Cl -9.081 6.169 7.742
Cl -4.124 8.378 4.583
Hg -5.264 7.939 12.213
Cl -8.410 9.059 10.540
Hg -7.454 7.226 2.330
Cl -9.449 12.526 7.636
Cl -10.565 3.974 4.741
Cl -6.358 5.333 5.296
Cl -9.207 7.370 3.867
Hg -3.525 4.308 5.553
Cl -11.129 11.288 11.939
Cl -2.924 5.019 3.398
Tl -4.070 -0.100 3.508
Cl -6.306 14.792 7.540
Cl -5.165 1.861 4.542
Cl -8.711 1.786 7.118
Cl -6.734 9.612 6.937
Cl -11.417 9.368 7.705
Tl -9.364 6.257 10.148
Cl -4.718 8.694 10.057
Cl -12.789 5.745 7.810
Cl -2.410 10.397 7.586
Hg -7.601 3.604 6.227
Cl 0.027 7.223 4.378
Hg -8.995 10.707 8.991
```

=====

Entry from Alexandria: a geometry-optimized Tl2HgCl8 structure (PBE).

Calculated values
Energy relative to the lowest polymorph listed for this composition = 0.31 eV/f.u.
Energy relative to the elements, uncorrected = -0.603 eV per atom
M_tot = 0.0 μB per formula unit
Uncorrected energy = -2.40 eV/atom
DOS at the Fermi energy = 0.00 states/eV/atom

```
11
Lattice="6.598 0.284 0.216 0.445 7.956 0.106 0.445 2.244 7.634" Properties=species:S:1:pos:R:3 pbc="T T T"
Tl 5.101 8.193 6.216
Cl 2.626 8.358 6.342
Cl 5.609 2.547 5.616
Tl 2.386 2.292 1.739
Cl 1.878 7.938 2.340
Cl 5.609 6.094 0.940
Cl 4.861 2.127 1.614
Cl 5.764 6.372 4.835
Hg 0.000 0.000 0.000
Cl 1.723 4.113 3.121
Cl 1.878 4.391 7.015
```

=====

Entry from Alexandria: a geometry-optimized Tl3HgCl structure (PBE).

Calculated values
Energy relative to the lowest polymorph listed for this composition = 0.00 eV/f.u.
Energy relative to the elements, uncorrected = -0.095 eV per atom
M_tot = 0.0 μB per formula unit
Uncorrected energy = -1.94 eV/atom
DOS at the Fermi energy = 0.65 states/eV/atom

```
5
Lattice="5.896 0.000 0.000 0.000 5.896 0.000 0.000 0.000 5.896" Properties=species:S:1:pos:R:3 pbc="T T T"
Tl 2.948 0.000 0.000
Cl 0.000 0.000 0.000
Tl 0.000 0.000 2.948
Tl 0.000 2.948 0.000
Hg 2.948 2.948 2.948
```

=====

Entry from Alexandria: a geometry-optimized TlHg2Cl structure (PBE).

Calculated values
Energy relative to the lowest polymorph listed for this composition = 0.19 eV/f.u.
Energy relative to the elements, uncorrected = -0.428 eV per atom
M_tot = 0.0 μB per formula unit
Uncorrected energy = -1.63 eV/atom
DOS at the Fermi energy = 0.14 states/eV/atom

```
4
Lattice="6.041 0.000 0.000 0.000 4.519 0.000 0.000 0.000 4.519" Properties=species:S:1:pos:R:3 pbc="T T T"
Hg 0.000 2.259 0.000
Cl 3.021 0.000 0.000
Tl 3.021 2.259 2.259
Hg 0.000 0.000 2.259
```

=====

Entry from Alexandria: a geometry-optimized Tl5HgCl8 structure (PBE).

Calculated values
Energy relative to the lowest polymorph listed for this composition = 0.28 eV/f.u.
Energy relative to the elements, uncorrected = -0.822 eV per atom
M_tot = 0.0 μB per formula unit
Uncorrected energy = -2.74 eV/atom
DOS at the Fermi energy = 0.44 states/eV/atom

```
14
Lattice="-1.563 -8.052 0.926 4.772 1.583 -6.546 3.602 2.059 7.136" Properties=species:S:1:pos:R:3 pbc="T T T"
Tl 3.645 -0.708 6.609
Cl 3.823 -2.815 4.370
Tl 3.648 -5.119 -3.187
Hg 4.697 0.323 2.310
Cl 1.217 -4.714 1.790
Cl 3.273 -2.435 -1.724
Cl 5.307 1.145 -1.405
Cl 6.690 1.986 2.467
Tl 1.019 -2.996 4.031
Cl 3.386 1.595 4.162
Tl 2.243 0.847 -1.478
Cl 2.523 -0.812 1.442
Tl 4.086 -3.840 1.088
Cl 6.187 -1.478 1.169
```

=====

Entry from Alexandria: a geometry-optimized U2TlHgCl8 structure (PBE).

Calculated values
Energy relative to the elements, uncorrected = -1.356 eV per atom
M_tot = 5.0 μB per formula unit
Uncorrected energy = -4.69 eV/atom
DOS at the Fermi energy = 1.15 states/eV/atom

```
12
Lattice="7.807 0.000 0.000 -3.904 6.761 0.000 0.000 0.000 7.479" Properties=species:S:1:pos:R:3 pbc="T T T"
Cl 1.789 2.418 6.211
Cl -0.915 6.421 1.269
Cl 0.000 4.507 4.350
Cl 3.904 2.254 3.129
U 0.000 4.507 6.925
Cl -1.200 2.758 1.269
U 3.904 2.254 0.554
Hg 0.000 0.000 0.000
Cl 4.819 0.340 6.211
Tl 0.000 0.000 3.740
Cl 5.103 4.003 6.211
Cl 2.115 4.343 1.269
```

=====

Entry from Alexandria: a geometry-optimized TlV2HgCl8 structure (PBE).

Calculated values
Energy relative to the elements, uncorrected = -1.032 eV per atom
M_tot = 3.0 μB per formula unit
Uncorrected energy = -4.01 eV/atom
DOS at the Fermi energy = 1.11 states/eV/atom

```
12
Lattice="7.056 0.000 0.000 3.528 6.110 0.000 3.528 2.037 10.166" Properties=species:S:1:pos:R:3 pbc="T T T"
Tl 0.000 0.000 0.000
Cl 4.753 4.453 8.321
Cl 9.359 3.694 1.844
Cl 7.879 1.890 8.321
Cl 8.536 5.878 8.321
Cl 10.584 6.110 5.397
V 3.528 2.037 2.611
Hg 7.056 4.074 5.083
Cl 3.528 2.037 4.769
Cl 6.233 6.258 1.844
V 10.584 6.110 7.555
Cl 5.576 2.269 1.844
```

=====

Entry from Alexandria: a geometry-optimized YTlHgCl6 structure (PBE).

Calculated values
Energy relative to the elements, uncorrected = -1.441 eV per atom
M_tot = 0.0 μB per formula unit
Uncorrected energy = -3.69 eV/atom
DOS at the Fermi energy = 0.00 states/eV/atom

```
18
Lattice="-6.500 -1.747 -1.980 4.900 -4.969 0.729 -3.645 -1.629 13.404" Properties=species:S:1:pos:R:3 pbc="T T T"
Cl -4.712 -5.424 3.312
Cl -5.161 -3.799 0.180
Cl -0.534 -2.920 8.841
Cl -3.695 -3.912 11.069
Cl -2.325 -7.429 11.014
Tl -1.823 -0.814 6.702
Cl -0.085 -4.545 11.973
Hg -5.434 -4.042 8.976
Y -3.612 -3.228 2.274
Cl -3.302 -5.267 7.803
Cl 0.135 -6.625 8.573
Cl -1.551 -4.432 1.084
Y -1.634 -5.116 9.879
Cl -1.944 -3.077 4.350
Cl -5.381 -1.719 3.580
Hg 0.188 -4.302 3.177
Tl 0.000 0.000 0.000
Cl -2.921 -0.916 1.139
```

=====

Entry from Alexandria: a geometry-optimized ZrTl2HgCl6 structure (PBE).

Calculated values
Energy relative to the elements, uncorrected = -1.326 eV per atom
M_tot = 0.0 μB per formula unit
Uncorrected energy = -3.79 eV/atom
DOS at the Fermi energy = 0.00 states/eV/atom

```
10
Lattice="-4.318 3.297 5.631 -4.586 -4.415 4.548 2.449 -1.211 8.053" Properties=species:S:1:pos:R:3 pbc="T T T"
Tl -3.526 -1.110 8.850
Cl -5.306 -3.661 7.788
Tl -8.742 -1.143 10.325
Cl -3.062 0.158 5.853
Cl -6.146 0.740 9.551
Cl -0.410 -2.024 9.012
Zr -2.924 -0.379 3.429
Cl -2.699 -2.753 11.535
Cl -1.703 0.541 10.989
Hg -6.058 -1.563 12.632
```

=====

Entry from Alexandria: a geometry-optimized TmHg3Cl9 structure (PBE).

Calculated values
Energy relative to the elements, uncorrected = -1.056 eV per atom
M_tot = 0.0 μB per formula unit
Uncorrected energy = -2.75 eV/atom
DOS at the Fermi energy = 0.00 states/eV/atom

```
26
Lattice="8.644 0.000 3.637 3.935 9.099 2.739 0.414 -0.103 11.105" Properties=species:S:1:pos:R:3 pbc="T T T"
Cl 8.159 7.285 12.136
Cl 4.474 5.899 11.585
Cl 2.906 5.298 3.955
Hg 12.492 8.297 15.493
Cl 4.415 2.514 12.497
Hg 9.525 5.174 12.124
Cl 9.376 2.787 6.641
Cl 9.386 6.715 5.251
Cl 3.702 1.401 5.254
Cl 8.247 3.761 10.355
Cl 7.241 0.871 3.390
Cl 5.212 2.113 8.418
Cl 5.879 8.362 4.435
Cl 9.942 3.716 14.187
Hg 6.839 6.855 6.192
Hg 8.430 0.676 5.657
Tm 8.153 9.037 10.145
Cl 2.024 0.696 8.508
Cl 7.026 7.115 8.672
Hg 6.319 2.254 10.897
Hg 3.947 3.799 5.891
Cl 11.140 8.975 13.398
Cl 10.598 8.317 9.539
Tm 2.160 4.539 1.616
Cl 3.333 5.368 7.752
Cl 6.390 4.477 5.393
```

=====

Entry from Alexandria: a geometry-optimized TmHgCl3 structure (PBE).

Calculated values
Energy relative to the elements, uncorrected = -1.691 eV per atom
M_tot = 0.0 μB per formula unit
Uncorrected energy = -3.75 eV/atom
DOS at the Fermi energy = 0.00 states/eV/atom

```
5
Lattice="-3.190 2.201 3.563 3.463 -1.133 3.800 2.356 4.646 -0.761" Properties=species:S:1:pos:R:3 pbc="T T T"
Hg 1.314 2.857 3.301
Cl 1.178 2.323 -0.381
Cl 1.731 -0.567 1.900
Cl -1.595 1.100 1.782
Tm 0.000 0.000 0.000
```

=====

Entry from Alexandria: a geometry-optimized UHgCl3 structure (PBE).

Calculated values
Energy relative to the lowest polymorph listed for this composition = 0.00 eV/f.u.
Energy relative to the elements, uncorrected = -1.306 eV per atom
M_tot = 3.0 μB per formula unit
Uncorrected energy = -4.73 eV/atom
DOS at the Fermi energy = 0.41 states/eV/atom

```
10
Lattice="-1.142 5.089 4.805 -4.046 -1.322 5.672 6.354 -1.719 8.565" Properties=species:S:1:pos:R:3 pbc="T T T"
Cl -1.087 3.343 10.504
Cl -1.724 -0.869 9.049
Cl 0.820 1.976 6.662
Cl 0.347 0.072 12.380
Cl 2.891 2.917 9.993
U 2.304 -0.228 6.023
U -1.137 2.276 13.019
Hg -3.376 2.481 7.037
Cl 2.254 -1.295 8.538
Hg 4.544 -0.433 12.006
```

=====

Entry from Alexandria: a geometry-optimized UHg2Cl8 structure (PBE).

Calculated values
Energy relative to the elements, uncorrected = -1.048 eV per atom
M_tot = 2.0 μB per formula unit
Uncorrected energy = -3.47 eV/atom
DOS at the Fermi energy = 0.08 states/eV/atom

```
11
Lattice="6.601 -0.207 -0.145 0.761 7.461 -1.354 0.761 1.296 7.471" Properties=species:S:1:pos:R:3 pbc="T T T"
Cl 5.920 7.188 0.636
Cl 6.482 6.751 4.716
Cl 2.370 4.874 3.405
Cl 2.203 5.479 -0.558
Hg 4.268 5.985 4.180
Cl 5.920 3.071 6.530
Cl 5.753 3.675 2.567
Hg 3.855 2.565 1.792
U 0.000 0.000 0.000
Cl 2.203 1.361 5.336
Cl 1.641 1.798 1.256
```

=====

Entry from Alexandria: a geometry-optimized UHgCl5 structure (PBE).

Calculated values
Energy relative to the elements, uncorrected = -1.361 eV per atom
M_tot = 1.0 μB per formula unit
Uncorrected energy = -4.34 eV/atom
DOS at the Fermi energy = 0.13 states/eV/atom

```
14
Lattice="8.577 1.174 2.995 0.848 8.615 2.995 2.854 2.964 10.049" Properties=species:S:1:pos:R:3 pbc="T T T"
Cl 6.823 7.072 10.299
Cl 3.888 5.257 9.034
Cl 6.426 2.374 3.254
Cl 5.456 5.682 5.740
U 6.140 6.377 8.020
Cl 5.853 10.379 12.785
Cl 7.421 4.273 8.278
U 0.000 0.000 0.000
Hg 2.716 3.529 4.010
Hg 9.564 9.224 12.029
Cl 8.391 7.497 7.005
Cl 0.668 0.710 2.280
Cl 11.611 12.044 13.760
Cl 4.859 8.481 7.761
```

=====

Entry from Alexandria: a geometry-optimized UHg2Cl5 structure (PBE).

Calculated values
Energy relative to the lowest polymorph listed for this composition = 0.00 eV/f.u.
Energy relative to the elements, uncorrected = -1.217 eV per atom
M_tot = 1.5 μB per formula unit
Uncorrected energy = -3.86 eV/atom
DOS at the Fermi energy = 0.59 states/eV/atom

```
8
Lattice="-1.937 -1.724 4.864 5.491 0.846 5.604 -3.465 5.954 3.851" Properties=species:S:1:pos:R:3 pbc="T T T"
Hg -0.382 2.158 8.231
Cl -3.132 4.873 9.617
Cl -2.541 3.698 3.194
Cl 3.362 0.328 4.349
Hg 0.586 3.020 5.799
Cl 2.771 1.503 10.772
Cl -0.898 -0.799 2.255
U -5.332 4.292 8.539
```

=====

Entry from Alexandria: a geometry-optimized UHg2Cl6 structure (PBE).

Calculated values
Energy relative to the elements, uncorrected = -1.131 eV per atom
M_tot = 0.1 μB per formula unit
Uncorrected energy = -3.68 eV/atom
DOS at the Fermi energy = 0.86 states/eV/atom

```
18
Lattice="7.687 0.000 -0.563 0.000 8.280 0.000 0.731 0.000 11.811" Properties=species:S:1:pos:R:3 pbc="T T T"
Cl 2.925 5.985 11.641
Cl 5.682 5.796 -0.397
Hg 4.436 0.003 8.779
Hg 0.227 4.137 3.155
Cl 7.893 8.273 2.869
Cl 6.403 6.434 5.454
Hg 3.981 8.277 2.469
Cl 6.213 1.656 5.457
Hg 8.190 4.143 8.092
Cl 4.002 4.133 2.191
Cl 5.492 2.294 -0.394
Cl 0.524 0.006 8.378
U 3.843 4.140 -0.282
Cl 2.735 2.484 11.644
Cl 2.204 6.624 5.790
Cl 4.415 4.146 9.056
U 0.365 0.000 5.905
Cl 2.014 1.846 5.793
```

=====

Entry from Alexandria: a geometry-optimized UHg3Cl6 structure (PBE).

Calculated values
Energy relative to the lowest polymorph listed for this composition = 0.87 eV/f.u.
Energy relative to the elements, uncorrected = -1.031 eV per atom
M_tot = 0.3 μB per formula unit
Uncorrected energy = -3.36 eV/atom
DOS at the Fermi energy = 0.58 states/eV/atom

```
10
Lattice="-2.325 0.477 -5.917 -2.820 -3.844 4.233 -5.687 7.278 2.820" Properties=species:S:1:pos:R:3 pbc="T T T"
Cl -8.347 3.861 1.236
Hg -5.499 1.235 2.260
Cl -5.552 6.320 0.530
Cl -2.800 -1.526 3.331
Hg -2.843 3.639 1.410
Cl -2.484 0.050 -0.100
U 0.000 0.000 0.000
Hg -5.333 2.676 -1.124
Cl -5.708 4.961 3.722
Cl -2.460 1.435 -3.627
```

=====

Entry from Alexandria: a geometry-optimized UHg2Cl4 structure (PBE).

Calculated values
Energy relative to the elements, uncorrected = -1.142 eV per atom
M_tot = 2.0 μB per formula unit
Uncorrected energy = -3.90 eV/atom
DOS at the Fermi energy = 0.93 states/eV/atom

```
7
Lattice="-4.895 2.223 0.452 -2.150 -4.203 -2.610 -5.006 -6.220 8.565" Properties=species:S:1:pos:R:3 pbc="T T T"
Cl -7.379 -3.160 0.017
Cl -2.447 1.111 0.226
U 0.000 0.000 0.000
Hg -4.165 -3.255 3.097
Cl -1.075 -2.102 -1.305
Hg -7.886 -4.946 3.310
Cl -4.671 -5.041 6.390
```

=====

Entry from Alexandria: a geometry-optimized UHgCl2 structure (PBE).

Calculated values
Energy relative to the elements, uncorrected = -0.999 eV per atom
M_tot = 3.1 μB per formula unit
Uncorrected energy = -4.82 eV/atom
DOS at the Fermi energy = 1.14 states/eV/atom

```
4
Lattice="3.516 0.000 0.000 1.758 3.045 0.000 1.758 1.015 11.671" Properties=species:S:1:pos:R:3 pbc="T T T"
U 3.516 2.030 5.836
Cl 1.758 1.015 7.751
Cl 5.274 3.045 3.920
Hg 0.000 0.000 0.000
```

=====

Entry from Alexandria: a geometry-optimized UHgCl3 structure (PBE).

Calculated values
Energy relative to the lowest polymorph listed for this composition = 0.29 eV/f.u.
Energy relative to the elements, uncorrected = -1.249 eV per atom
M_tot = 3.0 μB per formula unit
Uncorrected energy = -4.67 eV/atom
DOS at the Fermi energy = 0.35 states/eV/atom

```
5
Lattice="5.520 0.000 0.000 0.000 5.520 0.000 0.000 0.000 5.520" Properties=species:S:1:pos:R:3 pbc="T T T"
Hg 2.760 2.760 2.760
Cl 0.000 0.000 2.760
Cl 0.000 2.760 0.000
Cl 2.760 0.000 0.000
U 0.000 0.000 0.000
```